SrLiRh3: relaxed, GGA-PBE.

abc: 4.4238 4.4238 4.4238
angles: 90.00 90.00 90.00
Sites, in units of the cell vectors:
Sr  0.5000  0.5000  0.5000
Rh  0.0000  0.5000  0.0000
Rh  0.0000  0.0000  0.5000
Rh  0.5000  0.0000  0.0000
Li  0.0000  0.0000  0.0000

## Properties
**Energy of formation**: 31 kJ per mole of atoms
**Energy above the lowest structure with this stoichiometry**: 0.0 meV per atom
**Total magnetic moment**: 0.000 μB per atom
**Calculated volume**: 87 Å³/f.u.